Entry from OQMD: a relaxed LiAlAu crystal (GGA-PBE).

Results
The electronic total energy is -30.4 eV for the cell shown. The calculation puts the density at 7.5 g/cm3.

Lattice parameters (Å, degrees): 6.844 6.844 3.758 90.00 90.00 120.00
Positions (direct):
Li  0.589  0.000  0.500
Li  0.411  0.411  0.500
Li  0.000  0.589  0.500
Au  0.266  0.000  0.000
Au  0.000  0.266  0.000
Au  0.734  0.734  0.000
Al  0.000  0.000  0.500
Al  0.333  0.667  0.000
Al  0.667  0.333  0.000